1.
Below is an optimized crystal structure of Tb2DyHo2, with properties calculated at the PBE level.

## Properties
- D(E_F): 15.97 states/eV/cell
- Space group: Fddd

Cell and atoms, written as POSCAR:
```
Tb2DyHo2
1.0
0.0000 5.8115 11.1922
2.7377 0.0000 11.1922
2.7377 5.8115 0.0000
Tb Dy Ho
4 2 4
Direct
0.0420 0.7080 0.0420
0.2920 0.9580 0.2920
0.7080 0.0420 0.7080
0.9580 0.2920 0.9580
0.3750 0.3750 0.3750
0.6250 0.6250 0.6250
0.0000 0.5000 0.5000
0.5000 0.0000 0.5000
0.5000 0.5000 0.0000
0.5000 0.5000 0.5000
```

2.
Below is an optimized crystal structure of Tb2Dy9Ho3, with properties calculated at the PBE level.

## Properties
- D(E_F): 22.46 states/eV/cell
- Space group: P1

Cell and atoms, written as POSCAR:
```
Tb2Dy9Ho3
1.0
6.3261 0.0000 0.0000
-2.1423 8.4871 0.0000
-2.3820 -3.2188 8.2444
Tb Dy Ho
2 9 3
Direct
0.0000 0.0000 0.0000
0.1247 0.4225 0.0569
0.0316 0.4794 0.4186
0.1263 0.9142 0.6474
0.3141 0.3702 0.7323
0.4520 0.2983 0.3809
0.5479 0.7344 0.6101
0.5752 0.2103 0.0285
0.6856 0.6386 0.2468
0.7204 0.1460 0.6815
0.8570 0.0669 0.3471
0.2670 0.8448 0.2982
0.4484 0.7917 0.9704
0.8916 0.5728 0.7774
```

3.
Below is an optimized crystal structure of Tb5DyHo2, with properties calculated at the PBE level.

## Properties
- D(E_F): 19.04 states/eV/cell
- Space group: Pbam

Cell and atoms, written as POSCAR:
```
Tb5DyHo2
1.0
7.0876 0.0000 0.0000
0.0000 14.1752 0.0000
0.0000 0.0000 5.0028
Tb Dy Ho
10 2 4
Direct
0.0000 0.0000 0.0000
0.9999 0.2501 0.0000
0.0001 0.7499 0.0000
0.2500 0.1249 0.5000
0.2500 0.6249 0.5000
0.4999 0.2499 0.0000
0.5000 0.5000 0.0000
0.5001 0.7501 0.0000
0.7500 0.3751 0.5000
0.7500 0.8751 0.5000
0.0000 0.5000 0.0000
0.5000 0.0000 0.0000
0.2500 0.3751 0.5000
0.2500 0.8751 0.5000
0.7500 0.1249 0.5000
0.7500 0.6249 0.5000
```

4.
Below is an optimized crystal structure of TbDy2Ho5, with properties calculated at the PBE level.

## Properties
- D(E_F): 22.89 states/eV/cell
- Space group: P-1

Cell and atoms, written as POSCAR:
```
TbDy2Ho5
1.0
6.5556 0.0000 0.0000
3.2635 8.0992 0.0000
0.9306 -0.0211 9.4408
Tb Dy Ho
2 4 10
Direct
0.0412 0.4160 0.2499
0.9588 0.5840 0.7501
0.2748 0.6283 0.4259
0.4012 0.3732 0.9259
0.5988 0.6268 0.0741
0.7252 0.3717 0.5741
0.0227 0.7948 0.0541
0.0321 0.0186 0.3422
0.3161 0.2053 0.5526
0.3938 0.7147 0.7510
0.4471 0.0159 0.1583
0.5529 0.9841 0.8417
0.6062 0.2853 0.2490
0.6839 0.7947 0.4474
0.9679 0.9814 0.6578
0.9773 0.2052 0.9459
```

5.
Below is an optimized crystal structure of Tb5Dy12Ho2, with properties calculated at the PBE level.

## Properties
- D(E_F): 27.09 states/eV/cell
- Space group: P-1

Cell and atoms, written as POSCAR:
```
Tb5Dy12Ho2
1.0
6.4729 0.0000 0.0000
-1.2116 8.7303 0.0000
-0.5687 -3.9456 10.6774
Tb Dy Ho
5 12 2
Direct
0.0000 0.0000 0.0000
0.2240 0.4026 0.9585
0.3343 0.1275 0.4231
0.6657 0.8725 0.5769
0.7760 0.5974 0.0415
0.0307 0.7403 0.3707
0.0553 0.3437 0.2313
0.1954 0.9889 0.6994
0.2943 0.8292 0.1412
0.4738 0.8009 0.8638
0.4869 0.6103 0.2830
0.5131 0.3897 0.7170
0.5262 0.1991 0.1362
0.7057 0.1708 0.8588
0.8046 0.0111 0.3006
0.9447 0.6563 0.7687
0.9693 0.2597 0.6293
0.2638 0.5559 0.5402
0.7362 0.4441 0.4598
```

6.
Below is an optimized crystal structure of TbDy4Ho7, with properties calculated at the PBE level.

## Properties
- D(E_F): 19.89 states/eV/cell
- Space group: P-1

Cell and atoms, written as POSCAR:
```
TbDy4Ho7
1.0
6.4549 0.0000 0.0000
0.9540 6.6776 0.0000
2.0482 0.3835 8.7284
Tb Dy Ho
1 4 7
Direct
0.0000 0.0000 0.0000
0.1613 0.6151 0.3107
0.3602 0.1933 0.7149
0.6398 0.8067 0.2851
0.8387 0.3849 0.6893
0.0000 0.5000 0.0000
0.1908 0.1056 0.3873
0.3156 0.7008 0.6411
0.4851 0.2496 0.0514
0.5149 0.7504 0.9486
0.6844 0.2992 0.3589
0.8092 0.8944 0.6127
```

Summary of formation energy from the elements in meV per atom
495, 83, 15, 145, 88, 89
(order as listed above)
Summary of total DFT energy (no corrections) in eV/atom
-4.108, -4.518, -4.599, -4.446, -4.519, -4.501
(order as listed above)